[1]
The following is a DFT calculation (PBE-GGA) of NaCe4Pr3Se8 after structural relaxation.

a = 8.466 Å, b = 8.495 Å, c = 8.467 Å
α = 119.89°, β = 120.00°, γ = 90.00°
Sites, in units of the cell vectors:
Na1 0.000 0.500 0.000
Ce1 0.500 0.000 0.000
Ce2 0.500 0.000 0.500
Ce3 0.000 0.000 0.000
Ce4 0.000 0.000 0.500
Pr1 0.500 0.500 0.000
Pr2 0.500 0.500 0.500
Pr3 0.000 0.500 0.500
Se1 0.248 0.751 0.002
Se2 0.249 0.752 0.498
Se3 0.248 0.246 0.497
Se4 0.754 0.751 0.002
Se5 0.246 0.249 0.998
Se6 0.752 0.754 0.503
Se7 0.751 0.248 0.502
Se8 0.752 0.249 0.998

Summary:
The space-group type is R-3m. The formation energy (no corrections) is -1.7896 eV/atom.

=====

[2]
The following is a DFT calculation (PBE-GGA) of BaInSb2I after structural relaxation.

a = 5.586 Å, b = 5.586 Å, c = 6.425 Å
α = 90.00°, β = 90.00°, γ = 90.00°
Sites, in units of the cell vectors:
I1 0.000 0.000 0.500
Sb1 0.000 0.500 0.000
Sb2 0.500 0.000 0.000
Ba1 0.500 0.500 0.500
In1 0.000 0.000 0.000

Summary:
The space-group type is P4/mmm. The energy relative to the lowest polymorph listed for this composition is 0.00 eV/f.u. The formation energy (no corrections) is -0.2835 eV/atom.

=====

[3]
The following is a DFT calculation (PBE-GGA) of Nd4GeTeSe2 after structural relaxation.

a = 4.316 Å, b = 7.428 Å, c = 7.601 Å
α = 70.65°, β = 90.00°, γ = 90.00°
Sites, in units of the cell vectors:
Nd1 0.000 0.758 0.728
Nd2 0.000 0.242 0.272
Nd3 0.500 0.746 0.266
Nd4 0.500 0.254 0.734
Ge1 0.000 0.500 0.500
Te1 0.500 0.500 0.000
Se1 0.000 0.000 0.000
Se2 0.500 0.000 0.500

Summary:
The space-group type is P2/m. The formation energy (no corrections) is -1.5441 eV/atom.

=====

[4]
The following is a DFT calculation (PBE-GGA) of Th2BPIr6 after structural relaxation.

a = 5.776 Å, b = 7.135 Å, c = 8.412 Å
α = 90.00°, β = 90.00°, γ = 90.00°
Sites, in units of the cell vectors:
Th1 0.500 0.726 0.221
Th2 0.000 0.274 0.721
Th3 0.500 0.726 0.779
Th4 0.000 0.274 0.279
B1 0.000 0.788 0.500
B2 0.500 0.212 0.000
P1 0.500 0.308 0.500
P2 0.000 0.692 0.000
Ir1 0.500 0.156 0.255
Ir2 0.500 0.156 0.745
Ir3 0.000 0.844 0.245
Ir4 0.000 0.844 0.755
Ir5 0.263 0.986 0.500
Ir6 0.737 0.986 0.500
Ir7 0.251 0.569 0.500
Ir8 0.749 0.569 0.500
Ir9 0.751 0.431 0.000
Ir10 0.249 0.431 0.000
Ir11 0.237 0.014 0.000
Ir12 0.763 0.014 0.000

Summary:
The space-group type is Pmmn. Its formation energy is -0.7306 eV/atom.

=====

The final energy results, record by record, are as follows: -5.994; -3.175; -5.769; -8.740 eV/atom.